Compound: YThIrPt
Source: the Alexandria database
Functional: GGA-PBE
Structure: optimized geometry

Structure (POSCAR):
```
YThIrPt
1.0
7.097 0.000 0.000
0.000 7.097 0.000
0.000 0.000 7.097
Y Th Ir Pt
4 4 4 4
Cartesian
0.000 0.000 0.000
0.000 3.549 3.549
3.549 0.000 3.549
3.549 3.549 0.000
0.000 0.000 3.549
0.000 3.549 0.000
3.549 0.000 0.000
3.549 3.549 3.549
1.774 1.774 1.774
1.774 5.323 5.323
5.323 1.774 5.323
5.323 5.323 1.774
1.774 1.774 5.323
1.774 5.323 1.774
5.323 1.774 1.774
5.323 5.323 5.323
```

Properties
calculated volume: 22.3 A^3/atom
space-group type: F-43m, No. 216
magnetic moment: 0.00 μB per formula unit
formation enthalpy at 0 K: -3.72 eV/f.u.
calculated total energy: -8.13 eV/atom



Compound: Ho2ZrSc3
Source: the Alexandria database
Functional: GGA-PBE
Structure: optimized geometry

Structure (POSCAR):
```
Ho2ZrSc3
1.0
-2.336 7.098 4.737
2.336 -7.098 4.737
2.336 7.098 -4.737
Ho Zr Sc
4 2 6
Cartesian
0.000 1.228 1.145
2.336 1.228 3.592
0.000 5.870 1.145
2.336 5.870 3.592
2.336 -3.549 3.456
0.000 10.647 1.281
2.336 -1.314 1.243
2.336 5.784 -1.243
2.336 3.549 1.102
0.000 3.549 3.635
0.000 1.314 5.980
0.000 8.412 3.494
```

Properties
calculated volume: 26.2 A^3/atom
space-group type: Imma, No. 74
magnetic moment: 0.00 μB per formula unit
formation enthalpy at 0 K: 0.25 eV/f.u.
calculated total energy: -6.07 eV/atom



Compound: ZrPb3
Source: the Alexandria database
Functional: GGA-PBE
Structure: optimized geometry

Structure (POSCAR):
```
ZrPb3
1.0
6.050 0.000 0.000
0.000 6.050 0.000
0.000 0.000 6.050
Zr Pb
2 6
Cartesian
0.000 0.000 0.000
3.025 3.025 3.025
0.000 1.513 3.025
0.000 4.538 3.025
1.513 3.025 0.000
3.025 0.000 1.513
3.025 0.000 4.538
4.538 3.025 0.000
```

Properties
calculated volume: 27.7 A^3/atom
space-group type: Pm-3n, No. 223
magnetic moment: 0.01 μB per formula unit
formation enthalpy at 0 K: 0.81 eV/f.u.
calculated total energy: -4.72 eV/atom



Compound: AlCu2S4
Source: the Alexandria database
Functional: GGA-PBE
Structure: optimized geometry

Structure (POSCAR):
```
AlCu2S4
1.0
4.682 0.000 0.000
0.000 4.682 0.000
0.000 0.000 11.499
Al Cu S
2 4 8
Cartesian
0.000 0.000 0.000
2.341 2.341 5.750
0.000 0.000 4.588
0.000 0.000 6.912
2.341 2.341 1.162
2.341 2.341 10.337
0.000 0.000 2.433
0.000 0.000 9.066
0.000 2.341 0.000
0.000 2.341 5.750
2.341 0.000 0.000
2.341 0.000 5.750
2.341 2.341 3.317
2.341 2.341 8.183
```

Properties
calculated volume: 18.0 A^3/atom
space-group type: I4/mmm, No. 139
magnetic moment: 0.03 μB per formula unit
E_form (uncorrected): 9 kJ/mol of atoms
calculated total energy: -3.97 eV/atom